Entry from Alexandria: a relaxed structure of ReGe2B (PBE-GGA).

Calculated values
As for the space-group type: I-42d, No. 122. The energy of formation is 0.91 eV/atom.

Unit cell a=5.281 b=5.281 c=5.281 alpha=104.88 beta=104.88 gamma=119.11
Positions (direct):
Re: 0.000 0.000 0.000
Re: 0.750 0.250 0.500
Ge: 0.194 0.625 0.069
Ge: 0.375 0.444 0.569
Ge: 0.556 0.125 0.931
Ge: 0.875 0.806 0.431
B: 0.250 0.750 0.500
B: 0.500 0.500 0.000



Entry from Alexandria: a relaxed structure of BaLaCdMo2 (PBE-GGA).

Calculated values
As for the space-group type: P4/mmm, No. 123. The energy of formation is 1.57 eV/atom.

Unit cell a=5.350 b=5.350 c=5.723 alpha=90.00 beta=90.00 gamma=90.00
Positions (direct):
Ba: 0.000 0.000 0.000
La: 0.500 0.500 0.000
Cd: 0.000 0.000 0.500
Mo: 0.000 0.500 0.500
Mo: 0.500 0.000 0.500